(1)
Computed, not measured: MgInW after structural relaxation at the PBEsol level of DFT.

total magnetization	7.1	Bohr magnetons per cell
DFT total energy	-4.954	eV/atom
D(E_F)	3.76	states/eV/f.u.
energy of formation from the pure elements	1.22	eV/atom

Lattice parameters (Å, degrees): 6.487 6.487 6.487 90.00 90.00 90.00
Space group F-43m (No. 216)
One atom of each set of equivalent atoms:
Mg: 0.000 0.000 0.000 (multiplicity 4)
In: 0.000 0.000 0.500 (multiplicity 4)
W: 0.250 0.250 0.750 (multiplicity 4)



(2)
Computed, not measured: Al3Pb5F19 after structural relaxation at the PBEsol level of DFT.

ΔE to the lowest computed polymorph	0.0	kJ/mol of atoms
total magnetization	0.0	Bohr magnetons per cell
DFT total energy	-5.463	eV/atom
formation energy (no corrections)	-2.91	eV per atom
D(E_F)	0.00	states/eV/f.u.

Lattice parameters (Å, degrees): 14.062 14.062 7.434 90.00 90.00 90.00
Space group I4cm (No. 108)
One atom of each set of equivalent atoms:
Al: 0.000 0.000 0.000 (multiplicity 4)
Al: 0.161 0.339 0.208 (multiplicity 8)
Pb: 0.000 0.500 0.055 (multiplicity 4)
Pb: 0.074 0.223 0.671 (multiplicity 16)
F: 0.000 0.000 0.254 (multiplicity 4)
F: 0.054 0.116 0.008 (multiplicity 16)
F: 0.067 0.307 0.048 (multiplicity 16)
F: 0.078 0.422 0.305 (multiplicity 8)
F: 0.112 0.248 0.358 (multiplicity 16)
F: 0.116 0.384 0.680 (multiplicity 8)
F: 0.245 0.255 0.126 (multiplicity 8)



(3)
Computed, not measured: YIn2HgAu after structural relaxation at the PBEsol level of DFT.

total magnetization	0.0	Bohr magnetons per cell
DFT total energy	-3.051	eV/atom
D(E_F)	3.33	states/eV/f.u.
energy of formation from the pure elements	0.40	eV/atom

Lattice parameters (Å, degrees): 5.165 5.165 5.640 90.00 90.00 90.00
Space group P4/mmm (No. 123)
One atom of each set of equivalent atoms:
Y: 0.000 0.000 0.000 (multiplicity 1)
In: 0.000 0.500 0.500 (multiplicity 2)
Hg: 0.000 0.000 0.500 (multiplicity 1)
Au: 0.500 0.500 0.000 (multiplicity 1)